Here is a relaxed structure of HoSbO from the Alexandria database. Energies are from PBE.

## Properties
raw formation energy: -1.97 eV/atom
Fermi-level density of states: 0.548 states/eV/f.u.
energy relative to the lowest polymorph listed for this composition: 0 meV per atom

a b c (Å): 3.5473 3.5473 6.7927
angles (deg): 90.00 90.00 120.00
Fractional coordinates of all 3 atoms:
Sb  0.0000  0.0000  0.0380
Ho  0.6667  0.3333  0.4370
O  0.3333  0.6667  0.5249

---

Here is a relaxed structure of Ga5Hg3Au12 from the Alexandria database. Energies are from PBE.

## Properties
ΔE_f: 0.08 eV/atom
Fermi-level density of states: 6.245 states/eV/f.u.

a b c (Å): 13.5057 13.5057 13.5057
angles (deg): 109.47 109.47 109.47
Fractional coordinates of all 80 atoms:
Au  0.7204  0.5880  0.1664
Au  0.0540  0.6324  0.7204
Ga  0.0000  0.5000  0.0000
Ga  0.3750  0.2500  0.1250
Ga  0.7500  0.6250  0.3750
Au  0.2204  0.6664  0.0880
Au  0.4120  0.1324  0.5784
Au  0.1324  0.4120  0.0784
Ga  0.5000  0.5000  0.0000
Au  0.3676  0.9460  0.7796
Ga  0.2500  0.8750  0.1250
Hg  0.1250  0.2500  0.8750
Hg  0.2500  0.6250  0.8750
Au  0.7204  0.1324  0.0540
Au  0.9460  0.3676  0.2796
Au  0.9120  0.8336  0.7796
Hg  0.3750  0.7500  0.6250
Au  0.8676  0.2796  0.4460
Au  0.5540  0.3336  0.9216
Au  0.5784  0.9460  0.6664
Au  0.9120  0.0784  0.6324
Au  0.6664  0.4460  0.5784
Ga  0.5000  0.0000  0.5000
Au  0.5880  0.7204  0.6664
Ga  0.7500  0.1250  0.8750
Au  0.2796  0.8676  0.9460
Ga  0.3750  0.1250  0.7500
Hg  0.1250  0.8750  0.7500
Ga  0.1250  0.3750  0.2500
Au  0.8336  0.9216  0.0540
Au  0.4460  0.7796  0.8676
Au  0.9460  0.5784  0.1664
Au  0.0784  0.1664  0.4460
Au  0.1324  0.7204  0.5540
Hg  0.2500  0.1250  0.3750
Au  0.1664  0.0784  0.9460
Ga  0.0000  0.0000  0.5000
Ga  0.6250  0.8750  0.2500
Au  0.5880  0.8676  0.4216
Au  0.2796  0.4120  0.8336
Hg  0.7500  0.3750  0.1250
Hg  0.8750  0.7500  0.1250
Au  0.3676  0.4216  0.0880
Au  0.8676  0.5880  0.9216
Ga  0.1250  0.7500  0.3750
Ga  0.5000  0.5000  0.5000
Au  0.4460  0.6664  0.0784
Au  0.5784  0.6324  0.4120
Au  0.9216  0.0880  0.8676
Au  0.4120  0.2796  0.3336
Au  0.6664  0.2204  0.5880
Au  0.4216  0.0540  0.3336
Au  0.7796  0.4460  0.3676
Au  0.3336  0.7796  0.4120
Au  0.7796  0.3336  0.9120
Hg  0.6250  0.2500  0.3750
Au  0.0880  0.9216  0.3676
Hg  0.3750  0.6250  0.2500
Au  0.3336  0.5540  0.4216
Au  0.0880  0.1664  0.2204
Au  0.0784  0.9120  0.1324
Au  0.4216  0.3676  0.5880
Au  0.9216  0.8336  0.5540
Ga  0.8750  0.6250  0.7500
Au  0.6324  0.5784  0.9120
Hg  0.6250  0.3750  0.7500
Au  0.5540  0.2204  0.1324
Ga  0.0000  0.5000  0.5000
Au  0.0540  0.4216  0.8336
Au  0.6324  0.0540  0.2204
Ga  0.2500  0.3750  0.6250
Au  0.1664  0.0880  0.7204
Hg  0.8750  0.1250  0.2500
Au  0.2204  0.5540  0.6324
Ga  0.8750  0.2500  0.6250
Ga  0.5000  0.0000  0.0000
Ga  0.6250  0.7500  0.8750
Ga  0.0000  0.0000  0.0000
Hg  0.7500  0.8750  0.6250
Au  0.8336  0.9120  0.2796

---

Here is a relaxed structure of BaNi2Ru from the Alexandria database. Energies are from PBE.

## Properties
ΔE_f: 0.70 eV/atom
Fermi-level density of states: 5.217 states/eV/f.u.
energy relative to the lowest polymorph listed for this composition: 591 meV per atom

a b c (Å): 5.0492 5.0492 5.0492
angles (deg): 130.81 110.62 89.67
Site moments in Bohr magnetons follow the coordinates.
Fractional coordinates of all 4 atoms:
Ba  0.2500  0.7500  0.5000  -0.05
Ni  0.9220  0.9220  0.0000  0.57
Ni  0.5780  0.5780  0.0000  0.57
Ru  0.7500  0.2500  0.5000  1.37

---

Here is a relaxed structure of Pa6MnSe3S2 from the Alexandria database. Energies are from PBE.

## Properties
raw formation energy: -1.14 eV/atom
Fermi-level density of states: 21.141 states/eV/f.u.

a b c (Å): 6.8430 6.8430 7.0585
angles (deg): 99.52 99.52 119.78
Fractional coordinates of all 12 atoms:
S  0.6659  0.3341  0.0000
Se  0.1731  0.8269  0.5000
Pa  0.3917  0.0735  0.2195
Pa  0.7528  0.7528  0.2267
Mn  0.0000  0.0000  0.0000
Pa  0.0735  0.3917  0.2195
Pa  0.2472  0.2472  0.7733
Se  0.5000  0.5000  0.5000
Se  0.8269  0.1731  0.5000
S  0.3341  0.6659  0.0000
Pa  0.9265  0.6083  0.7805
Pa  0.6083  0.9265  0.7805

---

Here is a relaxed structure of NaMg3Mo from the Alexandria database. Energies are from PBE.

## Properties
ΔE_f: 0.84 eV/atom
Fermi-level density of states: 5.003 states/eV/f.u.
energy relative to the lowest polymorph listed for this composition: 0 meV per atom

a b c (Å): 5.3555 5.3555 5.3555
angles (deg): 90.00 90.00 90.00
Site moments in Bohr magnetons follow the coordinates.
Fractional coordinates of all 5 atoms:
Na  0.5000  0.5000  0.5000  -0.01
Mg  0.5000  0.0000  0.0000  0.01
Mg  0.0000  0.5000  0.0000  0.01
Mo  0.0000  0.0000  0.0000  2.14
Mg  0.0000  0.0000  0.5000  -0.01

---

Here is a relaxed structure of MgCu2Pt2 from the Alexandria database. Energies are from PBE.

## Properties
ΔE_f: -0.07 eV/atom
Fermi-level density of states: 3.682 states/eV/f.u.
energy relative to the lowest polymorph listed for this composition: 242 meV per atom

a b c (Å): 3.8132 3.8132 6.3054
angles (deg): 72.40 72.40 90.00
Fractional coordinates of all 5 atoms:
Mg  0.0000  0.0000  0.0000
Cu  0.6002  0.6002  0.7997
Pt  0.7500  0.2500  0.5000
Cu  0.3998  0.3998  0.2003
Pt  0.2500  0.7500  0.5000

---

Here is a relaxed structure of BaSbP2 from the Alexandria database. Energies are from PBE.

## Properties
raw formation energy: -0.44 eV/atom
Fermi-level density of states: 1.739 states/eV/f.u.

a b c (Å): 4.3580 5.5527 5.0007
angles (deg): 95.06 90.00 90.00
Fractional coordinates of all 4 atoms:
P  0.0000  0.5614  0.1762
Ba  0.5000  0.7500  0.7500
P  0.0000  0.9386  0.3238
Sb  0.5000  0.2500  0.2500

---

Here is a relaxed structure of Ta4NbAl from the Alexandria database. Energies are from PBE.

## Properties
ΔE_f: -0.01 eV/atom
Fermi-level density of states: 6.526 states/eV/f.u.
energy relative to the lowest polymorph listed for this composition: 0 meV per atom

a b c (Å): 7.2255 7.1331 16.2217
angles (deg): 42.06 45.25 22.79
Fractional coordinates of all 12 atoms:
Ta  0.7634  0.7435  0.3330
Ta  0.2366  0.2565  0.6670
Ta  0.6105  0.8732  0.8380
Al  0.4573  0.5242  0.7554
Ta  0.2003  0.8069  0.0815
Ta  0.0599  0.9439  0.4124
Ta  0.9401  0.0561  0.5876
Ta  0.3895  0.1268  0.1620
Ta  0.7997  0.1931  0.9185
Nb  0.0000  0.5000  0.0000
Al  0.5427  0.4758  0.2446
Nb  0.5000  0.0000  0.5000

---

Here is a relaxed structure of Er2ZrS5 from the Alexandria database. Energies are from PBE.

## Properties
raw formation energy: -1.85 eV/atom
energy relative to the lowest polymorph listed for this composition: 0 meV per atom

a b c (Å): 7.2362 7.6988 11.5885
angles (deg): 90.00 90.00 90.00
Fractional coordinates of all 32 atoms:
Zr  0.4207  0.7500  0.9941
S  0.3405  0.0377  0.9026
S  0.4510  0.7500  0.4977
S  0.6595  0.9623  0.0974
S  0.1945  0.7500  0.7089
Zr  0.9207  0.2500  0.5059
S  0.0490  0.7500  0.9977
S  0.1723  0.2500  0.6814
S  0.1595  0.4623  0.4026
Er  0.9820  0.4968  0.8202
S  0.1595  0.0377  0.4026
S  0.6595  0.5377  0.0974
Er  0.4820  0.9968  0.6798
S  0.8405  0.5377  0.5974
Zr  0.0793  0.7500  0.4941
Er  0.9820  0.0032  0.8202
Er  0.0180  0.9968  0.1798
S  0.8405  0.9623  0.5974
S  0.5490  0.2500  0.5023
S  0.3055  0.7500  0.2089
Er  0.0180  0.5032  0.1798
S  0.3405  0.4623  0.9026
S  0.6945  0.2500  0.7911
Er  0.4820  0.5032  0.6798
Zr  0.5793  0.2500  0.0059
S  0.6723  0.7500  0.8186
Er  0.5180  0.4968  0.3202
S  0.3277  0.2500  0.1814
S  0.9510  0.2500  0.0023
Er  0.5180  0.0032  0.3202
S  0.8277  0.7500  0.3186
S  0.8055  0.2500  0.2911

---

Here is a relaxed structure of Ba2Cd3In6 from the Alexandria database. Energies are from PBE.

## Properties
ΔE_f: -0.27 eV/atom
Fermi-level density of states: 4.513 states/eV/f.u.

a b c (Å): 4.8458 8.9161 8.9161
angles (deg): 120.00 90.00 90.00
Fractional coordinates of all 11 atoms:
Cd  0.5000  0.3751  0.3751
In  0.0000  0.1940  0.1940
Ba  0.0000  0.3333  0.6667
In  0.5000  0.2979  0.0000
In  0.0000  0.0000  0.8060
Ba  0.0000  0.6667  0.3333
In  0.5000  0.0000  0.2979
In  0.0000  0.8060  0.0000
Cd  0.5000  0.0000  0.6249
Cd  0.5000  0.6249  0.0000
In  0.5000  0.7021  0.7021

---

Here is a relaxed structure of NiBi4Pd2 from the Alexandria database. Energies are from PBE.

## Properties
ΔE_f: -0.17 eV/atom
Fermi-level density of states: 4.285 states/eV/f.u.

a b c (Å): 4.1899 7.1780 6.9877
angles (deg): 121.43 107.45 90.00
Fractional coordinates of all 7 atoms:
Bi  0.6182  0.2852  0.2363
Ni  0.0000  0.0000  0.0000
Pd  0.2511  0.2406  0.5022
Pd  0.7489  0.7594  0.4978
Bi  0.8858  0.2254  0.7716
Bi  0.1142  0.7746  0.2284
Bi  0.3818  0.7148  0.7637

---

Here is a relaxed structure of SrMg2W from the Alexandria database. Energies are from PBE.

## Properties
ΔE_f: 0.71 eV/atom
Fermi-level density of states: 4.448 states/eV/f.u.
energy relative to the lowest polymorph listed for this composition: 129 meV per atom

a b c (Å): 5.3910 5.3910 6.1980
angles (deg): 83.71 83.71 31.72
Fractional coordinates of all 4 atoms:
Mg  0.5139  0.5139  0.4456
Sr  0.7500  0.7500  0.7500
W  0.2500  0.2500  0.2500
Mg  0.9861  0.9861  0.0544